[1]
# Li2ZrPt4, optimized geometry, DFT GGA-PBE
data_Li2ZrPt4
_cell_length_a 4.9951
_cell_length_b 4.9951
_cell_length_c 6.2997
_cell_angle_alpha 113.36
_cell_angle_beta 113.36
_cell_angle_gamma 90.00
_symmetry_space_group_name_H-M 'P 1'
_symmetry_Int_Tables_number 1
loop_
_symmetry_equiv_pos_as_xyz
'x,y,z'
loop_
_atom_site_label
_atom_site_fract_x
_atom_site_fract_y
_atom_site_fract_z
Li1 0.6401 0.6401 0.2802
Li2 0.3599 0.3599 0.7198
Zr1 0.0000 0.0000 0.0000
Pt1 0.7500 0.2500 0.5000
Pt2 0.2500 0.7500 0.5000
Pt3 0.5000 0.0000 0.0000
Pt4 0.0000 0.5000 0.0000
# Energy of formation = -170 meV/atom
# Uncorrected energy = -5.390 eV/atom
# Total magnetization = 0.000 μB/atom
# V = 130.2 Å³/cell

=====

[2]
# LaAlPd, optimized geometry, DFT GGA-PBE
data_LaAlPd
_cell_length_a 4.0651
_cell_length_b 4.4904
_cell_length_c 4.4904
_cell_angle_alpha 120.00
_cell_angle_beta 90.00
_cell_angle_gamma 90.00
_symmetry_space_group_name_H-M 'P 1'
_symmetry_Int_Tables_number 1
loop_
_symmetry_equiv_pos_as_xyz
'x,y,z'
loop_
_atom_site_label
_atom_site_fract_x
_atom_site_fract_y
_atom_site_fract_z
Al1 0.1666 0.3333 0.6667
Pd1 0.1667 0.0000 0.0000
La1 0.6667 0.6667 0.3333
# Energy of formation = -738 meV/atom
# Uncorrected energy = -5.359 eV/atom
# Total magnetization = 0.000 μB/atom
# V = 71.0 Å³/cell

=====

[3]
# SbOs2W, optimized geometry, DFT GGA-PBE
data_SbOs2W
_cell_length_a 4.1518
_cell_length_b 2.8957
_cell_length_c 5.7439
_cell_angle_alpha 72.68
_cell_angle_beta 90.00
_cell_angle_gamma 90.00
_symmetry_space_group_name_H-M 'P 1'
_symmetry_Int_Tables_number 1
loop_
_symmetry_equiv_pos_as_xyz
'x,y,z'
loop_
_atom_site_label
_atom_site_fract_x
_atom_site_fract_y
_atom_site_fract_z
Os1 0.0000 0.1158 0.9885
Os2 0.0000 0.3842 0.5115
Sb1 0.5000 0.2500 0.2500
W1 0.5000 0.7500 0.7500
# Uncorrected energy = -9.341 eV/atom
# Total magnetization = 0.000 μB/atom
# V = 65.9 Å³/cell

=====

[4]
# TlNiPt, optimized geometry, DFT GGA-PBE
data_TlNiPt
_cell_length_a 4.4751
_cell_length_b 4.7530
_cell_length_c 8.8229
_cell_angle_alpha 133.25
_cell_angle_beta 90.00
_cell_angle_gamma 118.08
_symmetry_space_group_name_H-M 'P 1'
_symmetry_Int_Tables_number 1
loop_
_symmetry_equiv_pos_as_xyz
'x,y,z'
loop_
_atom_site_label
_atom_site_fract_x
_atom_site_fract_y
_atom_site_fract_z
Ni1 0.8386 0.6771 0.7776
Ni2 0.1614 0.3229 0.2224
Pt1 0.3900 0.7800 0.6538
Pt2 0.6100 0.2200 0.3462
Tl1 0.8070 0.6139 0.1886
Tl2 0.1930 0.3861 0.8114
# Energy of formation = 141 meV/atom
# Uncorrected energy = -4.588 eV/atom
# Total magnetization = 0.000 μB/atom
# V = 104.3 Å³/cell
# Energy above the lowest structure with this stoichiometry = 0 meV per atom